Entry 1:
Below is PtS8F2 after structural relaxation, with properties calculated at the PBE level.

Values from the calculation:
- formation energy without anion corrections (kJ/mol of formula units) = -163
- DFT total energy (eV per formula unit) = -44.50

a b c (Å): 5.699 7.632 5.703
angles (deg): 62.12 84.28 83.11
Sites, in units of the cell vectors:
S: 0.004 0.579 0.308
S: 0.049 0.109 0.319
S: 0.996 0.421 0.692
S: 0.338 0.591 0.914
S: 0.951 0.891 0.681
S: 0.405 0.970 0.888
S: 0.595 0.030 0.112
S: 0.662 0.409 0.086
Pt: 0.000 0.000 0.000
F: 0.532 0.336 0.390
F: 0.468 0.664 0.610


Entry 2:
Below is Pt2SF after structural relaxation, with properties calculated at the PBE level.

Values from the calculation:
- formation energy without anion corrections (kJ/mol of formula units) = 18
- relative energy among the computed polymorphs (eV/f.u.) = 0.639
- DFT total energy (eV per formula unit) = -17.89

a b c (Å): 4.264 4.264 4.264
angles (deg): 60.00 60.00 60.00
Sites, in units of the cell vectors:
S: 0.500 0.500 0.500
Pt: 0.250 0.250 0.250
Pt: 0.750 0.750 0.750
F: 0.000 0.000 0.000


Entry 3:
Below is PtSF2 after structural relaxation, with properties calculated at the PBE level.

Values from the calculation:
- formation energy without anion corrections (kJ/mol of formula units) = -139
- relative energy among the computed polymorphs (eV/f.u.) = 0.348
- DFT total energy (eV per formula unit) = -15.36

a b c (Å): 9.917 9.917 9.917
angles (deg): 15.72 15.72 15.72
Each line ends with the local moment (μB).
Sites, in units of the cell vectors:
S: 0.500 0.500 0.500  0.30
Pt: 0.000 0.000 0.000  0.07
F: 0.935 0.935 0.935  0.03
F: 0.065 0.065 0.065  0.03


Entry 4:
Below is PtSF after structural relaxation, with properties calculated at the PBE level.

Values from the calculation:
- formation energy without anion corrections (kJ/mol of formula units) = -199
- relative energy among the computed polymorphs (eV/f.u.) = 0.000
- DFT total energy (eV per formula unit) = -14.10

a b c (Å): 5.668 6.122 6.370
angles (deg): 64.05 63.26 62.46
Sites, in units of the cell vectors:
Pt: 0.891 0.930 0.225
Pt: 0.666 0.667 0.016
Pt: 0.339 0.320 0.017
S: 0.551 0.298 0.267
S: 0.279 0.922 0.251
S: 0.932 0.536 0.267
F: 0.058 0.439 0.805
F: 0.695 0.063 0.794
F: 0.439 0.676 0.805